Entry 1:
# TmSc2Al3

Crystalline TmSc2Al3 at its relaxed geometry (PBE-GGA, Alexandria via LeMat-Bulk).

Computed properties:
Space group: P4/mmm, No. 123
Fermi-level density of states: 0.5011 states/eV/atom
Electronic total energy: -5.152 eV per atom

abc: 3.432 3.432 10.306
angles: 90.00 90.00 90.00
Fractional positions:
1 Tm 0.000 0.000 0.000
2 Sc 0.000 0.000 0.340
3 Sc 0.000 0.000 0.660
4 Al 0.500 0.500 0.182
5 Al 0.500 0.500 0.500
6 Al 0.500 0.500 0.818

Entry 2:
# Tm2ScAl

Crystalline Tm2ScAl at its relaxed geometry (PBE-GGA, Alexandria via LeMat-Bulk).

Computed properties:
Space group: Fm-3m, No. 225
Energy relative to the lowest polymorph listed for this composition: 99.7 meV/atom
Fermi-level density of states: 1.2489 states/eV/atom

abc: 5.177 5.177 5.177
angles: 60.00 60.00 60.00
Fractional positions:
1 Tm 0.250 0.250 0.250
2 Tm 0.750 0.750 0.750
3 Sc 0.000 0.000 0.000
4 Al 0.500 0.500 0.500

Entry 3:
# Tm2Sc2Al

Crystalline Tm2Sc2Al at its relaxed geometry (PBE-GGA, Alexandria via LeMat-Bulk).

Computed properties:
Space group: I4/mmm, No. 139
Fermi-level density of states: 1.0348 states/eV/atom
Electronic total energy: -4.778 eV per atom

abc: 9.153 9.153 9.153
angles: 155.16 155.16 35.42
Fractional positions:
1 Tm 0.091 0.091 0.000
2 Tm 0.909 0.909 0.000
3 Sc 0.250 0.750 0.500
4 Sc 0.750 0.250 0.500
5 Al 0.500 0.500 0.000

Entry 4:
# Tm2ScAl

Crystalline Tm2ScAl at its relaxed geometry (PBE-GGA, Alexandria via LeMat-Bulk).

Computed properties:
Space group: Cmcm, No. 63
Energy relative to the lowest polymorph listed for this composition: 455.0 meV/atom
Fermi-level density of states: 1.2424 states/eV/atom

abc: 12.346 12.346 5.400
angles: 90.00 90.00 165.05
Fractional positions:
1 Tm 0.032 0.968 0.750
2 Tm 0.229 0.771 0.250
3 Tm 0.771 0.229 0.750
4 Tm 0.968 0.032 0.250
5 Sc 0.099 0.901 0.250
6 Sc 0.901 0.099 0.750
7 Al 0.158 0.842 0.750
8 Al 0.842 0.158 0.250

Entry 5:
# Tm2Sc7Al2

Crystalline Tm2Sc7Al2 at its relaxed geometry (PBE-GGA, Alexandria via LeMat-Bulk).

Computed properties:
Space group: C2/m, No. 12
Fermi-level density of states: 1.2485 states/eV/atom
Electronic total energy: -5.536 eV per atom

abc: 5.915 5.915 8.732
angles: 93.72 93.72 117.80
Fractional positions:
1 Tm 0.169 0.831 0.000
2 Tm 0.831 0.169 0.000
3 Sc 0.028 0.570 0.338
4 Sc 0.430 0.972 0.662
5 Sc 0.478 0.478 0.838
6 Sc 0.500 0.500 0.500
7 Sc 0.522 0.522 0.162
8 Sc 0.570 0.028 0.338
9 Sc 0.972 0.430 0.662
10 Al 0.061 0.061 0.336
11 Al 0.939 0.939 0.664

Entry 6:
# Tm3ScAl2

Crystalline Tm3ScAl2 at its relaxed geometry (PBE-GGA, Alexandria via LeMat-Bulk).

Computed properties:
Space group: Ibam, No. 72
Fermi-level density of states: 1.3979 states/eV/atom
Electronic total energy: -4.728 eV per atom

abc: 9.065 9.065 9.065
angles: 139.77 58.18 139.80
Fractional positions:
1 Tm 0.177 0.250 0.427
2 Tm 0.250 0.250 0.000
3 Tm 0.323 0.750 0.074
4 Tm 0.677 0.250 0.926
5 Tm 0.750 0.750 0.000
6 Tm 0.823 0.750 0.573
7 Sc 0.250 0.750 0.500
8 Sc 0.750 0.250 0.500
9 Al 0.131 0.741 0.872
10 Al 0.369 0.241 0.610
11 Al 0.631 0.759 0.390
12 Al 0.869 0.259 0.128

Q: Among the records above, which one has the lowest Fermi-level density of states?
A: TmSc2Al3

Q: What is the Fermi-level density of states in the fourth record?
A: 1.2424 states/eV/atom

Q: Fermi-level density of states of number 6 (Tm3ScAl2)?
A: 1.3979 states/eV/atom